Record 1
SmAsS after structural relaxation. Source: Alexandria via LeMat-Bulk, functional PBE.

**Raw total energy**: -6.056 eV per atom

a b c (Å): 3.889 3.889 8.720
angles (deg): 90.00 90.00 90.00
Space group P4/nmm (No. 129, origin choice 2)
Unique sites:
Sm 0.250 0.250 0.209 x2
As 0.250 0.750 0.500 x2
S 0.250 0.250 0.874 x2

Record 2
KNa2Eu after structural relaxation. Source: Alexandria via LeMat-Bulk, functional PBE.

**Offset from the most stable computed form**: 0.37 eV/f.u.
**Raw total energy**: -3.332 eV per atom

a b c (Å): 3.9373 3.9373 42.8927
angles (deg): 90.00 90.00 120.00
Space group R-3m (No. 166, hexagonal axes)
Unique sites:
K 0.0000 0.0000 0.0000 x3
Na 0.0000 0.0000 0.4154 x6
Eu 0.0000 0.0000 0.5000 x3

Among the records above, which one has the highest raw total energy? KNa2Eu

Number 2 is which compound? KNa2Eu